(1)
A plane-wave DFT calculation with PBE was carried out for Sm2ScIn3 after structural relaxation.

Results
* energy of formation from the pure elements: -466 meV per atom
* energy above the most stable polymorph in this dataset: 0.0000 eV/atom
* uncorrected energy: -26.783 eV/cell

Unit cell a=3.702 b=3.702 c=11.469 alpha=90.00 beta=90.00 gamma=90.00
Element x y z (fractional)
In1 0.000 0.000 0.645
In2 0.000 0.000 0.000
In3 0.000 0.000 0.355
Sm1 0.500 0.500 0.823
Sm2 0.500 0.500 0.177
Sc1 0.500 0.500 0.500


(2)
A plane-wave DFT calculation with PBE was carried out for SmSc5In3 after structural relaxation.

Results
* energy of formation from the pure elements: -358 meV per atom
* uncorrected energy: -95.626 eV/cell

Unit cell a=6.376 b=8.878 c=8.878 alpha=120.00 beta=90.00 gamma=90.00
Element x y z (fractional)
Sm1 0.000 0.000 0.000
Sm2 0.500 0.000 0.000
In1 0.750 0.341 0.341
In2 0.250 0.341 0.000
In3 0.750 0.000 0.659
In4 0.250 0.659 0.659
In5 0.750 0.659 0.000
In6 0.250 0.000 0.341
Sc1 0.500 0.333 0.667
Sc2 0.000 0.667 0.333
Sc3 0.250 0.667 0.000
Sc4 0.000 0.333 0.667
Sc5 0.250 0.333 0.333
Sc6 0.750 0.333 0.000
Sc7 0.250 0.000 0.667
Sc8 0.500 0.667 0.333
Sc9 0.750 0.667 0.667
Sc10 0.750 0.000 0.333


(3)
A plane-wave DFT calculation with PBE was carried out for Sm5Sc3In after structural relaxation.

Results
* energy of formation from the pure elements: 338 meV per atom
* uncorrected energy: -84.566 eV/cell

Unit cell a=7.638 b=7.638 c=10.712 alpha=78.82 beta=78.82 gamma=91.89
Element x y z (fractional)
Sm1 0.607 0.107 0.649
Sm2 0.250 0.750 0.000
Sm3 0.622 0.622 0.576
Sm4 0.378 0.378 0.424
Sm5 0.107 0.607 0.649
Sm6 0.893 0.393 0.351
Sm7 0.393 0.893 0.351
Sm8 0.309 0.309 0.880
Sm9 0.750 0.250 0.000
Sm10 0.691 0.691 0.120
In1 0.862 0.862 0.803
In2 0.138 0.138 0.197
Sc1 0.859 0.859 0.300
Sc2 0.141 0.141 0.700
Sc3 0.586 0.586 0.866
Sc4 0.000 0.000 0.500
Sc5 0.414 0.414 0.134
Sc6 0.000 0.000 0.000


(4)
A plane-wave DFT calculation with PBE was carried out for SmScIn after structural relaxation.

Results
* energy of formation from the pure elements: -204 meV per atom
* energy above the most stable polymorph in this dataset: 0.1541 eV/atom
* uncorrected energy: -28.802 eV/cell

Unit cell a=3.367 b=3.367 c=14.630 alpha=96.61 beta=96.61 gamma=90.00
Element x y z (fractional)
Sc1 0.288 0.288 0.577
Sc2 0.712 0.712 0.423
Sm1 0.438 0.438 0.875
Sm2 0.562 0.562 0.125
In1 0.140 0.140 0.280
In2 0.860 0.860 0.720


(5)
A plane-wave DFT calculation with PBE was carried out for Sm2ScIn4 after structural relaxation.

Results
* energy of formation from the pure elements: -338 meV per atom
* energy above the most stable polymorph in this dataset: 0.0000 eV/atom
* uncorrected energy: -29.088 eV/cell

Unit cell a=5.150 b=5.150 c=8.223 alpha=108.25 beta=108.25 gamma=90.00
Element x y z (fractional)
In1 0.894 0.394 0.788
In2 0.606 0.106 0.212
In3 0.106 0.606 0.212
In4 0.394 0.894 0.788
Sc1 0.000 0.000 0.000
Sm1 0.248 0.248 0.495
Sm2 0.752 0.752 0.505


(6)
A plane-wave DFT calculation with PBE was carried out for Sm3ScIn12 after structural relaxation.

Results
* energy of formation from the pure elements: -413 meV per atom
* uncorrected energy: -59.954 eV/cell

Unit cell a=4.645 b=4.645 c=18.635 alpha=90.00 beta=90.00 gamma=90.00
Element x y z (fractional)
In1 0.500 0.500 0.000
In2 0.500 0.500 0.753
In3 0.500 0.000 0.373
In4 0.000 0.500 0.882
In5 0.500 0.500 0.500
In6 0.000 0.500 0.373
In7 0.000 0.500 0.118
In8 0.500 0.000 0.882
In9 0.000 0.500 0.627
In10 0.500 0.500 0.247
In11 0.500 0.000 0.627
In12 0.500 0.000 0.118
Sm1 0.000 0.000 0.755
Sm2 0.000 0.000 0.500
Sm3 0.000 0.000 0.245
Sc1 0.000 0.000 0.000


(7)
A plane-wave DFT calculation with PBE was carried out for Sm2Sc3In4 after structural relaxation.

Results
* energy of formation from the pure elements: -322 meV per atom
* uncorrected energy: -84.568 eV/cell

Unit cell a=6.700 b=8.671 c=8.872 alpha=90.00 beta=112.18 gamma=90.00
Element x y z (fractional)
Sc1 0.470 0.250 0.440
Sc2 0.970 0.250 0.440
Sc3 0.030 0.750 0.560
Sc4 0.530 0.750 0.560
Sc5 0.000 0.000 0.000
Sc6 0.500 0.500 0.000
In1 0.293 0.250 0.085
In2 0.319 0.460 0.637
In3 0.707 0.750 0.915
In4 0.819 0.040 0.637
In5 0.207 0.750 0.915
In6 0.681 0.540 0.363
In7 0.793 0.250 0.085
In8 0.181 0.960 0.363
Sm1 0.890 0.417 0.779
Sm2 0.110 0.583 0.221
Sm3 0.610 0.917 0.221
Sm4 0.390 0.083 0.779


(8)
A plane-wave DFT calculation with PBE was carried out for SmSc5In4 after structural relaxation.

Results
* energy of formation from the pure elements: -342 meV per atom
* uncorrected energy: -50.752 eV/cell

Unit cell a=3.356 b=3.356 c=21.114 alpha=90.00 beta=90.00 gamma=90.00
Each line ends with the local moment (μB).
Element x y z (fractional)
In1 0.000 0.000 0.211  0.00
In2 0.000 0.000 0.789  0.00
In3 0.000 0.000 0.596  0.00
In4 0.000 0.000 0.404  0.00
Sc1 0.500 0.500 0.692  0.17
Sc2 0.500 0.500 0.500  -0.19
Sc3 0.500 0.500 0.117  -0.04
Sc4 0.500 0.500 0.883  -0.04
Sc5 0.500 0.500 0.308  0.17
Sm1 0.000 0.000 0.000  0.01


(9)
A plane-wave DFT calculation with PBE was carried out for Sm2ScIn after structural relaxation.

Results
* energy of formation from the pure elements: -185 meV per atom
* energy above the most stable polymorph in this dataset: 0.0757 eV/atom
* uncorrected energy: -19.248 eV/cell

Unit cell a=3.682 b=3.682 c=8.574 alpha=90.00 beta=90.00 gamma=90.00
Each line ends with the local moment (μB).
Element x y z (fractional)
Sm1 0.000 0.000 0.257  0.04
Sm2 0.000 0.000 0.743  0.04
In1 0.500 0.500 0.500  0.00
Sc1 0.500 0.500 0.000  0.08


(10)
A plane-wave DFT calculation with PBE was carried out for Sm5ScIn6 after structural relaxation.

Results
* energy of formation from the pure elements: -471 meV per atom
* uncorrected energy: -52.011 eV/cell

Unit cell a=5.371 b=7.536 c=9.274 alpha=113.98 beta=106.60 gamma=90.00
Element x y z (fractional)
In1 0.161 0.922 0.321
In2 0.161 0.399 0.321
In3 0.839 0.601 0.679
In4 0.500 0.772 0.000
In5 0.500 0.228 0.000
In6 0.839 0.078 0.679
Sm1 0.337 0.337 0.674
Sm2 0.675 0.174 0.349
Sm3 0.663 0.663 0.326
Sm4 0.325 0.826 0.651
Sm5 0.000 0.500 0.000
Sc1 0.000 0.000 0.000


(11)
A plane-wave DFT calculation with PBE was carried out for Sm4Sc5In after structural relaxation.

Results
* energy of formation from the pure elements: 60 meV per atom
* uncorrected energy: -52.675 eV/cell

Unit cell a=5.537 b=7.762 c=7.762 alpha=82.69 beta=69.10 gamma=69.10
Element x y z (fractional)
Sm1 0.141 0.311 0.311
Sm2 0.452 0.689 0.311
Sm3 0.452 0.311 0.689
Sm4 0.763 0.689 0.689
Sc1 0.140 0.000 0.633
Sc2 0.773 0.367 0.000
Sc3 0.140 0.633 0.000
Sc4 0.682 0.000 0.000
Sc5 0.773 0.000 0.367
In1 0.193 0.000 0.000


(12)
A plane-wave DFT calculation with PBE was carried out for Sm2ScIn after structural relaxation.

Results
* energy of formation from the pure elements: -261 meV per atom
* energy above the most stable polymorph in this dataset: 0.0000 eV/atom
* uncorrected energy: -19.551 eV/cell

Unit cell a=4.837 b=4.783 c=4.783 alpha=90.00 beta=90.00 gamma=90.00
Element x y z (fractional)
Sm1 0.000 0.500 0.000
Sm2 0.000 0.000 0.500
Sc1 0.500 0.000 0.000
In1 0.500 0.500 0.500


(13)
A plane-wave DFT calculation with PBE was carried out for Sm6ScIn5 after structural relaxation.

Results
* energy of formation from the pure elements: -389 meV per atom
* uncorrected energy: -53.004 eV/cell

Unit cell a=5.436 b=7.624 c=9.454 alpha=113.78 beta=106.71 gamma=90.00
Each line ends with the local moment (μB).
Element x y z (fractional)
In1 0.344 0.844 0.689  -0.01
In2 0.656 0.156 0.311  -0.01
In3 0.000 0.500 0.000  -0.01
In4 0.667 0.667 0.333  0.01
In5 0.333 0.333 0.667  0.01
Sm1 0.170 0.424 0.341  0.07
Sm2 0.500 0.743 0.000  0.09
Sm3 0.830 0.576 0.659  0.07
Sm4 0.170 0.917 0.341  0.07
Sm5 0.500 0.257 0.000  0.09
Sm6 0.830 0.083 0.659  0.07
Sc1 0.000 0.000 0.000  0.51


(14)
A plane-wave DFT calculation with PBE was carried out for Sm2Sc2In3 after structural relaxation.

Results
* energy of formation from the pure elements: -323 meV per atom
* uncorrected energy: -32.575 eV/cell

Unit cell a=4.687 b=3.247 c=12.032 alpha=90.00 beta=78.77 gamma=90.00
Each line ends with the local moment (μB).
Element x y z (fractional)
Sc1 0.711 0.500 0.578  0.20
Sc2 0.289 0.500 0.422  0.20
Sm1 0.576 0.500 0.849  -0.04
Sm2 0.424 0.500 0.151  -0.04
In1 0.161 0.000 0.678  0.00
In2 0.839 0.000 0.322  0.00
In3 0.000 0.000 0.000  0.01


(15)
A plane-wave DFT calculation with PBE was carried out for Sm14ScIn after structural relaxation.

Results
* energy of formation from the pure elements: -35 meV per atom
* uncorrected energy: -75.702 eV/cell

Unit cell a=7.121 b=7.121 c=10.163 alpha=90.00 beta=90.00 gamma=90.00
Element x y z (fractional)
Sm1 0.626 0.876 0.243
Sm2 0.124 0.374 0.243
Sm3 0.375 0.125 0.000
Sm4 0.875 0.125 0.500
Sm5 0.125 0.875 0.243
Sm6 0.125 0.875 0.757
Sm7 0.875 0.625 0.500
Sm8 0.124 0.374 0.757
Sm9 0.375 0.125 0.500
Sm10 0.375 0.625 0.500
Sm11 0.875 0.625 0.000
Sm12 0.626 0.374 0.756
Sm13 0.626 0.876 0.757
Sm14 0.626 0.374 0.244
Sc1 0.875 0.125 0.000
In1 0.375 0.625 0.000


(16)
A plane-wave DFT calculation with PBE was carried out for SmScIn3 after structural relaxation.

Results
* energy of formation from the pure elements: -262 meV per atom
* uncorrected energy: -41.153 eV/cell

Unit cell a=6.240 b=7.103 c=7.103 alpha=120.00 beta=90.00 gamma=90.00
Element x y z (fractional)
In1 0.750 0.198 0.395
In2 0.750 0.605 0.802
In3 0.250 0.395 0.198
In4 0.750 0.198 0.802
In5 0.250 0.802 0.605
In6 0.250 0.802 0.198
Sm1 0.250 0.334 0.666
Sm2 0.750 0.666 0.334
Sc1 0.000 0.000 0.000
Sc2 0.500 0.000 0.000


(17)
A plane-wave DFT calculation with PBE was carried out for Sm3Sc4In after structural relaxation.

Results
* energy of formation from the pure elements: -97 meV per atom
* uncorrected energy: -85.997 eV/cell

Unit cell a=5.922 b=6.801 c=10.809 alpha=90.00 beta=90.00 gamma=90.00
Element x y z (fractional)
Sm1 0.650 0.376 0.737
Sm2 0.150 0.624 0.763
Sm3 0.008 0.368 0.500
Sm4 0.508 0.632 0.000
Sm5 0.150 0.624 0.237
Sm6 0.650 0.376 0.263
In1 0.481 0.651 0.500
In2 0.981 0.349 0.000
Sc1 0.475 0.121 0.000
Sc2 0.144 0.117 0.758
Sc3 0.964 0.892 0.000
Sc4 0.975 0.879 0.500
Sc5 0.644 0.883 0.258
Sc6 0.644 0.883 0.742
Sc7 0.144 0.117 0.242
Sc8 0.464 0.108 0.500


(18)
A plane-wave DFT calculation with PBE was carried out for Sm6ScIn3 after structural relaxation.

Results
* energy of formation from the pure elements: -258 meV per atom
* uncorrected energy: -90.883 eV/cell

Unit cell a=5.431 b=9.581 c=11.993 alpha=109.21 beta=90.00 gamma=90.00
Element x y z (fractional)
Sm1 0.750 0.746 0.509
Sm2 0.750 0.898 0.123
Sm3 0.750 0.539 0.913
Sm4 0.250 0.254 0.491
Sm5 0.250 0.102 0.877
Sm6 0.250 0.132 0.157
Sm7 0.250 0.461 0.087
Sm8 0.250 0.656 0.675
Sm9 0.750 0.344 0.325
Sm10 0.250 0.840 0.294
Sm11 0.750 0.868 0.843
Sm12 0.750 0.160 0.706
Sc1 0.750 0.036 0.419
Sc2 0.250 0.964 0.581
In1 0.750 0.628 0.222
In2 0.250 0.372 0.778
In3 0.250 0.543 0.381
In4 0.750 0.229 0.030
In5 0.750 0.457 0.619
In6 0.250 0.771 0.970


(19)
A plane-wave DFT calculation with PBE was carried out for Sm8ScIn2 after structural relaxation.

Results
* energy of formation from the pure elements: -77 meV per atom
* uncorrected energy: -50.405 eV/cell

Unit cell a=6.181 b=9.960 c=9.960 alpha=39.56 beta=64.01 gamma=64.01
Element x y z (fractional)
Sm1 0.672 0.873 0.873
Sm2 0.733 0.507 0.507
Sm3 0.222 0.571 0.087
Sm4 0.778 0.429 0.913
Sm5 0.328 0.127 0.127
Sm6 0.222 0.087 0.571
Sm7 0.778 0.913 0.429
Sm8 0.267 0.493 0.493
In1 0.244 0.679 0.679
In2 0.756 0.321 0.321
Sc1 0.000 0.000 0.000


(20)
A plane-wave DFT calculation with PBE was carried out for SmScIn after structural relaxation.

Results
* energy of formation from the pure elements: -282 meV per atom
* energy above the most stable polymorph in this dataset: 0.0758 eV/atom
* uncorrected energy: -14.636 eV/cell

Unit cell a=3.475 b=3.475 c=7.103 alpha=104.16 beta=104.16 gamma=90.00
Element x y z (fractional)
In1 0.940 0.940 0.880
Sm1 0.612 0.612 0.225
Sc1 0.297 0.297 0.595


(21)
A plane-wave DFT calculation with PBE was carried out for Sm3ScIn2 after structural relaxation.

Results
* energy of formation from the pure elements: -288 meV per atom
* energy above the most stable polymorph in this dataset: 0.0353 eV/atom
* uncorrected energy: -55.387 eV/cell

Unit cell a=6.577 b=6.546 c=9.503 alpha=110.15 beta=110.25 gamma=90.00
Each line ends with the local moment (μB).
Element x y z (fractional)
Sm1 0.425 0.676 0.351  0.14
Sm2 0.074 0.824 0.649  0.14
Sm3 0.500 0.750 0.000  0.22
Sm4 0.500 0.250 0.000  0.22
Sm5 0.926 0.176 0.351  0.14
Sm6 0.575 0.324 0.649  0.14
In1 0.367 0.131 0.262  0.00
In2 0.895 0.631 0.262  0.00
In3 0.105 0.369 0.738  0.00
In4 0.633 0.869 0.738  0.00
Sc1 0.000 0.250 0.000  0.34
Sc2 0.000 0.750 0.000  0.34